[1]
# NaCe6Te8

Crystalline NaCe6Te8 at its relaxed geometry (PBE-GGA, the Alexandria database).

abc: 12.671 12.671 12.671
angles: 90.00 90.00 90.00
Space group Fm-3m (No. 225)
One atom of each set of equivalent atoms:
Na  0.000  0.000  0.000 [4 per cell]
Ce  0.000  0.250  0.250 [24 per cell]
Te  0.000  0.000  0.255 [24 per cell]
Te  0.250  0.250  0.250 [8 per cell]

Total magnetization ... 25.774 μB/cell
D(E_F) ... 46.686 states/eV/f.u.
Raw formation energy ... -1.310 eV/atom

[2]
# Na5Ce3Te12

Crystalline Na5Ce3Te12 at its relaxed geometry (PBE-GGA, the Alexandria database).

abc: 18.479 18.479 18.479
angles: 90.00 90.00 90.00
Space group Ia-3d (No. 230)
One atom of each set of equivalent atoms:
Na  0.000  0.000  0.000 [16 per cell]
Na  0.000  0.250  0.375 [24 per cell]
Ce  0.000  0.250  0.125 [24 per cell]
Te  0.013  0.084  0.667 [96 per cell]

Total magnetization ... 20.564 μB/cell
D(E_F) ... 20.248 states/eV/f.u.
Raw formation energy ... -0.687 eV/atom

[3]
# NaCe4Te5

Crystalline NaCe4Te5 at its relaxed geometry (PBE-GGA, the Alexandria database).

abc: 4.468 6.372 22.815
angles: 90.00 90.00 90.00
Space group Immm (No. 71)
One atom of each set of equivalent atoms:
Na  0.000  0.000  0.000 [2 per cell]
Ce  0.000  0.000  0.202 [4 per cell]
Ce  0.000  0.000  0.399 [4 per cell]
Te  0.000  0.500  0.000 [2 per cell]
Te  0.000  0.500  0.199 [4 per cell]
Te  0.000  0.500  0.399 [4 per cell]

Total magnetization ... 9.369 μB/cell
D(E_F) ... 29.025 states/eV/f.u.
Raw formation energy ... -1.320 eV/atom